1.
A plane-wave DFT calculation with PBE was carried out for crystalline Y2ReNi at its relaxed geometry.

Results
Theoretical density: 8.10 g/cm3
SG: No. 35
N(E_F): 1.651 states/eV/atom
Raw total energy: -30.5 eV/f.u.

Unit cell a=3.2893 b=3.2893 c=8.0058 alpha=90.00 beta=90.00 gamma=90.15
Last column: nearest neighbours and their distance in Å.
Atoms (fractional coordinates):
Y 0.0000 0.0000 0.0000  1 Re 2.88, 4 Ni 2.99
Y 0.5000 0.5000 0.3945  1 Ni 2.97, 4 Re 3.04-3.05, 4 Y 3.29
Re 0.0000 0.0000 0.6398  4 Ni 2.53-2.54
Ni 0.5000 0.5000 0.7658  4 Re 2.53-2.54



2.
A plane-wave DFT calculation with PBE was carried out for crystalline Ca2TiSi4Pt3 at its relaxed geometry.

Results
Theoretical density: 7.59 g/cm3
SG: No. 115
N(E_F): 0.430 states/eV/atom
E_form (uncorrected): -0.885 eV per atom

Unit cell a=4.1440 b=4.1440 c=10.5125 alpha=90.00 beta=90.00 gamma=90.00
Last column: nearest neighbours and their distance in Å.
Atoms (fractional coordinates):
Ca 0.0000 0.5000 0.2482  8 Si 3.15-3.33, 6 Pt 3.22-3.36, 2 Ti 3.36
Ca 0.5000 0.0000 0.7518  8 Si 3.15-3.33, 6 Pt 3.22-3.36, 2 Ti 3.36
Ti 0.0000 0.0000 0.5000  4 Si 2.55
Si 0.0000 0.0000 0.0000  4 Pt 2.44
Si 0.0000 0.5000 0.6413  3 Pt 2.49-2.55, 2 Ti 2.55
Si 0.5000 0.0000 0.3587  3 Pt 2.49-2.55, 2 Ti 2.55
Si 0.5000 0.5000 0.0000  4 Pt 2.44
Pt 0.0000 0.5000 0.8780  5 Si 2.44-2.49
Pt 0.5000 0.0000 0.1220  5 Si 2.44-2.49
Pt 0.5000 0.5000 0.5000  4 Si 2.55



3.
A plane-wave DFT calculation with PBE was carried out for crystalline Ti2Zn3Pd at its relaxed geometry.

Results
Theoretical density: 7.25 g/cm3
SG: No. 65
N(E_F): 0.730 states/eV/atom
Raw total energy: -26.6 eV/f.u.

Unit cell a=6.3393 b=6.3393 c=7.6228 alpha=90.00 beta=90.00 gamma=143.46
Last column: nearest neighbours and their distance in Å.
Atoms (fractional coordinates):
Ti 0.0000 0.0000 0.0000  8 Zn 2.76-2.85, 4 Ti 2.81
Ti 0.0000 0.0000 0.5000  8 Zn 2.74-2.75, 4 Pd 2.75
Ti 0.3354 0.6646 0.0000  8 Zn 2.76-2.80, 4 Ti 2.81-2.86
Ti 0.6646 0.3354 0.0000  8 Zn 2.76-2.80, 4 Ti 2.81-2.86
Zn 0.1705 0.8295 0.2594  3 Pd 2.71-2.77, 5 Ti 2.75-2.85, 4 Zn 2.76-2.86
Zn 0.1705 0.8295 0.7406  3 Pd 2.71-2.77, 5 Ti 2.75-2.85, 4 Zn 2.76-2.86
Zn 0.5000 0.5000 0.2518  2 Pd 2.68, 6 Ti 2.74-2.76, 4 Zn 2.86
Zn 0.5000 0.5000 0.7482  2 Pd 2.68, 6 Ti 2.74-2.76, 4 Zn 2.86
Zn 0.8295 0.1705 0.2594  3 Pd 2.71-2.77, 5 Ti 2.75-2.85, 4 Zn 2.76-2.86
Zn 0.8295 0.1705 0.7406  3 Pd 2.71-2.77, 5 Ti 2.75-2.85, 4 Zn 2.76-2.86
Pd 0.3424 0.6576 0.5000  8 Zn 2.68-2.77, 2 Ti 2.75, 2 Pd 2.98
Pd 0.6576 0.3424 0.5000  8 Zn 2.68-2.77, 2 Ti 2.75, 2 Pd 2.98